PBE+U PaNiO4, relaxed; M_tot = 1.0 μB per formula unit; space-group type = C2/m; final energy = -7.60 eV per atom
1.0
-2.263 0.484 -3.046
-1.017 -3.688 0.001
-3.140 1.734 3.658
O Ni Pa
4 1 1
Cartesian
-2.160 0.361 -0.793
-1.576 -1.593 0.635
-4.844 0.122 -0.022
-4.261 -1.832 1.405
-3.210 -0.735 0.306
0.000 0.000 0.000